Entry 1:
## LaBe3O (GGA-PBEsol)

Data for crystalline LaBe3O at its relaxed geometry.

abc: 4.0883 4.0883 4.0883
angles: 90.00 90.00 90.00
Fractional coordinates of all 5 atoms:
La 0.0000 0.0000 0.0000
Be 0.0000 0.5000 0.5000
Be 0.5000 0.0000 0.5000
Be 0.5000 0.5000 0.0000
O 0.5000 0.5000 0.5000

Summary:
- formation energy without anion corrections (eV per atom) = 0.35

=====

Entry 2:
## La3BeO (GGA-PBEsol)

Data for crystalline La3BeO at its relaxed geometry.

abc: 4.9162 4.9162 4.9162
angles: 90.00 90.00 90.00
Fractional coordinates of all 5 atoms:
La 0.0000 0.0000 0.5000
La 0.0000 0.5000 0.0000
La 0.5000 0.0000 0.0000
Be 0.5000 0.5000 0.5000
O 0.0000 0.0000 0.0000

Summary:
- formation energy without anion corrections (eV per atom) = -1.00

=====

Entry 3:
## La2Be2O5 (GGA-PBEsol)

Data for crystalline La2Be2O5 at its relaxed geometry.

abc: 5.2343 5.2343 7.3798
angles: 91.00 91.00 88.44
Fractional coordinates of all 18 atoms:
La 0.2018 0.2741 0.1957
La 0.2741 0.2018 0.6957
La 0.7259 0.7982 0.3043
La 0.7982 0.7259 0.8043
Be 0.2508 0.6885 0.5298
Be 0.3115 0.7492 0.9702
Be 0.6885 0.2508 0.0298
Be 0.7492 0.3115 0.4702
O 0.0000 0.5000 0.5000
O 0.0543 0.7439 0.0852
O 0.2476 0.7524 0.7500
O 0.2561 0.9457 0.4148
O 0.5000 0.0000 0.0000
O 0.5000 0.5000 0.0000
O 0.5000 0.5000 0.5000
O 0.7439 0.0543 0.5852
O 0.7524 0.2476 0.2500
O 0.9457 0.2561 0.9148

Summary:
- formation energy without anion corrections (eV per atom) = -3.14

=====

Entry 4:
## LaSc2BeO (GGA-PBEsol)

Data for crystalline LaSc2BeO at its relaxed geometry.

abc: 4.3156 4.3156 5.0804
angles: 90.00 90.00 90.00
Fractional coordinates of all 5 atoms:
La 0.0000 0.0000 0.0000
Sc 0.0000 0.5000 0.5000
Sc 0.5000 0.0000 0.5000
Be 0.5000 0.5000 0.0000
O 0.5000 0.5000 0.5000

Summary:
- formation energy without anion corrections (eV per atom) = -0.62

=====

Entry 5:
## SrLa2BeO5 (GGA-PBEsol)

Data for crystalline SrLa2BeO5 at its relaxed geometry.

abc: 9.6293 6.6087 7.3442
angles: 90.00 90.00 90.00
Fractional coordinates of all 36 atoms:
Sr 0.1747 0.0819 0.0000
Sr 0.3253 0.5819 0.5000
Sr 0.6747 0.4181 0.0000
Sr 0.8253 0.9181 0.5000
La 0.0239 0.5959 0.7661
La 0.1710 0.0734 0.5488
La 0.3290 0.5734 0.0488
La 0.4761 0.0959 0.2661
La 0.5239 0.9041 0.7661
La 0.6710 0.4266 0.5488
La 0.8290 0.9266 0.0488
La 0.9761 0.4041 0.2661
Be 0.1021 0.8078 0.2686
Be 0.3979 0.3078 0.7686
Be 0.6021 0.6922 0.2686
Be 0.8979 0.1922 0.7686
O 0.0120 0.0198 0.2700
O 0.0684 0.6963 0.4601
O 0.0685 0.6891 0.0792
O 0.2249 0.3388 0.2614
O 0.2269 0.3626 0.7681
O 0.2731 0.8626 0.2681
O 0.2751 0.8388 0.7614
O 0.4315 0.1891 0.5792
O 0.4316 0.1963 0.9601
O 0.4880 0.5198 0.7700
O 0.5120 0.4802 0.2700
O 0.5684 0.8037 0.4601
O 0.5685 0.8109 0.0792
O 0.7249 0.1612 0.2614
O 0.7269 0.1374 0.7681
O 0.7731 0.6374 0.2681
O 0.7751 0.6612 0.7614
O 0.9315 0.3109 0.5792
O 0.9316 0.3037 0.9601
O 0.9880 0.9802 0.7700

Summary:
- formation energy without anion corrections (eV per atom) = -3.19

=====

Entry 6:
## LaBeOs2 (GGA-PBEsol)

Data for crystalline LaBeOs2 at its relaxed geometry.

abc: 2.7950 2.7950 9.3125
angles: 90.00 90.00 117.22
Fractional coordinates of all 4 atoms:
La 0.0000 0.0000 0.0000
Be 0.5000 0.5000 0.7068
Os 0.0000 0.0000 0.5116
Os 0.5000 0.5000 0.2772

Summary:
- ΔH_f (0 K) (meV/atom) = 761

=====

Entry 7:
## La2BeOs (GGA-PBEsol)

Data for crystalline La2BeOs at its relaxed geometry.

abc: 5.8185 5.8185 5.8185
angles: 143.54 132.99 60.91
Fractional coordinates of all 4 atoms:
La 0.0000 0.0000 0.0000
La 0.7070 0.2070 0.5000
Be 0.2908 0.7908 0.5000
Os 0.4228 0.4228 0.0000

Summary:
- ΔH_f (0 K) (meV/atom) = 44

=====

Entry 8:
## LaBeOs2 (GGA-PBEsol)

Data for crystalline LaBeOs2 at its relaxed geometry.

abc: 2.9379 4.2596 5.5207
angles: 90.00 102.27 90.00
Fractional coordinates of all 4 atoms:
La 0.0000 0.0000 0.0000
Be 0.3971 0.5000 0.7090
Os 0.3601 0.0000 0.5087
Os 0.7728 0.5000 0.3841

Summary:
- ΔH_f (0 K) (meV/atom) = 212

=====

Entry 9:
## LaBeOs2 (GGA-PBEsol)

Data for crystalline LaBeOs2 at its relaxed geometry.

abc: 5.5654 5.5654 5.5654
angles: 149.62 128.30 61.15
Fractional coordinates of all 4 atoms:
La 0.0000 0.0000 0.0000
Be 0.7094 0.2094 0.5000
Os 0.2819 0.7819 0.5000
Os 0.5074 0.5074 0.0000

Summary:
- ΔH_f (0 K) (meV/atom) = 554

=====

Entry 10:
## LaBeOs2 (GGA-PBEsol)

Data for crystalline LaBeOs2 at its relaxed geometry.

abc: 4.7690 4.7690 4.7690
angles: 128.73 128.73 75.45
Fractional coordinates of all 4 atoms:
La 0.0000 0.0000 0.0000
Be 0.5000 0.5000 0.0000
Os 0.2500 0.7500 0.5000
Os 0.7500 0.2500 0.5000

Summary:
- ΔH_f (0 K) (meV/atom) = 714

=====

Entry 11:
## La2BeOs (GGA-PBEsol)

Data for crystalline La2BeOs at its relaxed geometry.

abc: 4.7993 4.7993 4.7993
angles: 60.00 60.00 60.00
Fractional coordinates of all 4 atoms:
La 0.0000 0.0000 0.0000
La 0.2500 0.2500 0.2500
Be 0.7500 0.7500 0.7500
Os 0.5000 0.5000 0.5000

Summary:
- ΔH_f (0 K) (meV/atom) = 263

=====

Entry 12:
## LaBeOs2 (GGA-PBEsol)

Data for crystalline LaBeOs2 at its relaxed geometry.

abc: 5.6620 5.6620 5.6620
angles: 43.71 43.71 43.71
Fractional coordinates of all 4 atoms:
La 0.0000 0.0000 0.0000
Be 0.8141 0.8141 0.8141
Os 0.1867 0.1867 0.1867
Os 0.5022 0.5022 0.5022

Summary:
- ΔH_f (0 K) (meV/atom) = -45

=====

Entry 13:
## LaBeP2 (GGA-PBEsol)

Data for crystalline LaBeP2 at its relaxed geometry.

abc: 4.1400 4.3137 4.3897
angles: 90.00 90.00 90.00
Fractional coordinates of all 4 atoms:
La 0.0000 0.0000 0.0000
Be 0.5000 0.5000 0.5940
P 0.5000 0.0000 0.4906
P 0.5000 0.5000 0.0804

Summary:
- ΔH_f (0 K) (meV/atom) = -611

=====

Entry 14:
## LaBeP2 (GGA-PBEsol)

Data for crystalline LaBeP2 at its relaxed geometry.

abc: 4.0463 4.0463 5.3796
angles: 111.32 111.32 59.93
Fractional coordinates of all 4 atoms:
La 0.0000 0.0000 0.0000
Be 0.5000 0.5000 0.5000
P 0.2080 0.2080 0.6140
P 0.7920 0.7920 0.3860

Summary:
- ΔH_f (0 K) (meV/atom) = -589

=====

Entry 15:
## LaBe2P2 (GGA-PBEsol)

Data for crystalline LaBe2P2 at its relaxed geometry.

abc: 6.4273 6.4273 6.4273
angles: 147.27 147.27 46.96
Fractional coordinates of all 5 atoms:
La 0.0000 0.0000 0.0000
Be 0.2500 0.7500 0.5000
Be 0.7500 0.2500 0.5000
P 0.3579 0.3579 0.0000
P 0.6421 0.6421 0.0000

Summary:
- ΔH_f (0 K) (meV/atom) = -792

=====

Entry 16:
## LaBeP2S (GGA-PBEsol)

Data for crystalline LaBeP2S at its relaxed geometry.

abc: 5.3709 5.3709 5.2913
angles: 90.00 90.00 90.00
Fractional coordinates of all 5 atoms:
La 0.0000 0.0000 0.0000
Be 0.5000 0.5000 0.5000
P 0.0000 0.5000 0.0000
P 0.5000 0.0000 0.0000
S 0.0000 0.0000 0.5000

Summary:
- formation energy without anion corrections (eV per atom) = 1.13

=====

Entry 17:
## LaBePb2 (GGA-PBEsol)

Data for crystalline LaBePb2 at its relaxed geometry.

abc: 6.0119 6.0119 4.8033
angles: 113.38 113.38 40.58
Fractional coordinates of all 4 atoms:
La 0.0000 0.0000 0.0000
Be 0.7424 0.7424 0.3289
Pb 0.2165 0.2165 0.7127
Pb 0.4164 0.4164 0.4141

Summary:
- ΔH_f (0 K) (meV/atom) = 3

=====

Entry 18:
## La2BePb (GGA-PBEsol)

Data for crystalline La2BePb at its relaxed geometry.

abc: 5.4973 5.4973 5.4973
angles: 124.40 124.40 82.54
Fractional coordinates of all 4 atoms:
La 0.2500 0.7500 0.5000
La 0.7500 0.2500 0.5000
Be 0.0000 0.0000 0.0000
Pb 0.5000 0.5000 0.0000

Summary:
- ΔE to the lowest computed polymorph (eV per atom) = 0.0000
- ΔH_f (0 K) (meV/atom) = -105

=====

Entry 19:
## La2BePb (GGA-PBEsol)

Data for crystalline La2BePb at its relaxed geometry.

abc: 3.6996 4.8862 6.5047
angles: 90.00 90.00 90.00
Fractional coordinates of all 4 atoms:
La 0.0000 0.0000 0.0000
La 0.5000 0.5000 0.3502
Be 0.5000 0.5000 0.8833
Pb 0.0000 0.0000 0.5257

Summary:
- ΔE to the lowest computed polymorph (eV per atom) = 0.2794
- ΔH_f (0 K) (meV/atom) = 175

=====

Entry 20:
## La3BePb (GGA-PBEsol)

Data for crystalline La3BePb at its relaxed geometry.

abc: 5.9891 5.9891 5.9891
angles: 90.00 90.00 90.00
Fractional coordinates of all 5 atoms:
La 0.0000 0.0000 0.5000
La 0.0000 0.5000 0.0000
La 0.5000 0.0000 0.0000
Be 0.5000 0.5000 0.5000
Pb 0.0000 0.0000 0.0000

Summary:
- ΔH_f (0 K) (meV/atom) = 816

=====

Entry 21:
## LaBePb2 (GGA-PBEsol)

Data for crystalline LaBePb2 at its relaxed geometry.

abc: 3.6525 3.6525 7.3342
angles: 90.00 90.00 90.00
Fractional coordinates of all 4 atoms:
La 0.0000 0.0000 0.0000
Be 0.0000 0.0000 0.5000
Pb 0.5000 0.5000 0.2981
Pb 0.5000 0.5000 0.7019

Summary:
- ΔH_f (0 K) (meV/atom) = 84

=====

Entry 22:
## LaBePb4 (GGA-PBEsol)

Data for crystalline LaBePb4 at its relaxed geometry.

abc: 6.2942 6.2942 6.2942
angles: 60.00 60.00 60.00
Fractional coordinates of all 6 atoms:
La 0.0000 0.0000 0.0000
Be 0.7500 0.7500 0.7500
Pb 0.3748 0.3748 0.3748
Pb 0.3748 0.3748 0.8757
Pb 0.3748 0.8757 0.3748
Pb 0.8757 0.3748 0.3748

Summary:
- ΔH_f (0 K) (meV/atom) = 291

=====

Entry 23:
## La2BePb (GGA-PBEsol)

Data for crystalline La2BePb at its relaxed geometry.

abc: 9.9636 9.9636 9.9636
angles: 21.02 21.02 21.02
Fractional coordinates of all 4 atoms:
La 0.2371 0.2371 0.2371
La 0.7629 0.7629 0.7629
Be 0.5000 0.5000 0.5000
Pb 0.0000 0.0000 0.0000

Summary:
- ΔE to the lowest computed polymorph (eV per atom) = 0.2074
- ΔH_f (0 K) (meV/atom) = 103

=====

Entry 24:
## LaBePb2 (GGA-PBEsol)

Data for crystalline LaBePb2 at its relaxed geometry.

abc: 4.7041 4.7041 4.5446
angles: 90.00 90.00 90.00
Fractional coordinates of all 4 atoms:
La 0.0000 0.0000 0.0000
Be 0.5000 0.5000 0.0000
Pb 0.0000 0.5000 0.5000
Pb 0.5000 0.0000 0.5000

Summary:
- ΔH_f (0 K) (meV/atom) = -58

=====

Entry 25:
## LaBePb2 (GGA-PBEsol)

Data for crystalline LaBePb2 at its relaxed geometry.

abc: 6.1279 6.1279 6.1279
angles: 44.30 44.30 44.30
Fractional coordinates of all 4 atoms:
La 0.0000 0.0000 0.0000
Be 0.5000 0.5000 0.5000
Pb 0.2219 0.2219 0.2219
Pb 0.7781 0.7781 0.7781

Summary:
- ΔH_f (0 K) (meV/atom) = 1

=====

Entry 26:
## La4BePb (GGA-PBEsol)

Data for crystalline La4BePb at its relaxed geometry.

abc: 6.3237 6.3237 6.3237
angles: 60.00 60.00 60.00
Fractional coordinates of all 6 atoms:
La 0.1241 0.1241 0.1241
La 0.1241 0.1241 0.6278
La 0.1241 0.6278 0.1241
La 0.6278 0.1241 0.1241
Be 0.5000 0.5000 0.5000
Pb 0.7500 0.7500 0.7500

Summary:
- ΔH_f (0 K) (meV/atom) = 435

=====

Entry 27:
## LaBe2Pb (GGA-PBEsol)

Data for crystalline LaBe2Pb at its relaxed geometry.

abc: 3.2281 3.2281 7.4370
angles: 90.00 90.00 90.00
Fractional coordinates of all 4 atoms:
La 0.0000 0.0000 0.0000
Be 0.0000 0.0000 0.6091
Be 0.5000 0.5000 0.7134
Pb 0.5000 0.5000 0.3564

Summary:
- ΔH_f (0 K) (meV/atom) = 251